Compound: BiSeI2N
Source: the Alexandria database
Functional: meta-GGA SCAN
Structure: single point on PBEsol structure

Unit cell a=4.1980 b=6.1839 c=6.1839 alpha=90.00 beta=90.00 gamma=90.00
Closest atoms and distances in Å follow each position.
Element x y z (fractional)
1 Bi 0.0000 0.0000 0.0000  2 N 2.10
2 I 0.0000 0.5000 0.0000  2 Bi 3.09
3 N 0.5000 0.0000 0.0000  2 Bi 2.10
4 I 0.0000 0.0000 0.5000  2 Bi 3.09
5 Se 0.5000 0.5000 0.5000  8 I 3.74

ΔE_f (raw) = 105.16 kJ per mole of atoms

---

Compound: CaV2P3O12
Source: the Alexandria database
Functional: meta-GGA SCAN
Structure: single point on PBEsol structure

Unit cell a=6.2691 b=6.3848 c=20.0398 alpha=90.00 beta=90.00 gamma=91.88
Closest atoms and distances in Å follow each position.
Element x y z (fractional)
1 O 0.8744 0.3804 0.7022  1 P 1.54
2 O 0.9037 0.7683 0.1997  1 P 1.57
3 V 0.9301 0.0936 0.2085  5 O 1.84-2.04
4 O 0.1256 0.6196 0.2978  1 P 1.54
5 P 0.8787 0.2270 0.0494  4 O 1.51-1.61
6 O 0.0738 0.9256 0.6997  1 P 1.55
7 P 0.1213 0.7730 0.9506  4 O 1.51-1.61
8 O 0.2385 0.0714 0.2018  1 P 1.54
9 P 0.5947 0.3944 0.8767  4 O 1.48-1.58
10 O 0.2615 0.4286 0.7018  1 P 1.54
11 O 0.4262 0.5744 0.1997  1 P 1.55
12 O 0.3945 0.4025 0.0875  1 P 1.48
13 Ca 0.1392 0.4348 0.5769  4 O 2.17-2.37
14 O 0.9262 0.0744 0.3003  1 P 1.55
15 P 0.4053 0.6056 0.1233  4 O 1.48-1.58
16 O 0.8945 0.9025 0.4125  1 P 1.48
17 V 0.9009 0.7363 0.0963  5 O 1.89-2.08
18 V 0.0699 0.9064 0.7915  5 O 1.84-2.04
19 O 0.6298 0.0558 0.5807  1 P 1.52
20 Ca 0.6392 0.9348 0.9231  4 O 2.17-2.37
21 O 0.0404 0.6121 0.7910  1 P 1.53
22 O 0.9596 0.3879 0.2090  1 P 1.53
23 O 0.5963 0.7317 0.6997  1 P 1.57
24 V 0.4009 0.2363 0.4037  5 O 1.89-2.08
25 O 0.4037 0.2683 0.3003  1 P 1.57
26 Ca 0.3608 0.0652 0.0769  4 O 2.17-2.37
27 P 0.3787 0.7270 0.4506  4 O 1.51-1.61
28 O 0.5404 0.1121 0.7090  1 P 1.53
29 V 0.4301 0.5936 0.2915  5 O 1.84-2.04
30 O 0.1716 0.6430 0.4800  1 P 1.51
31 O 0.4337 0.2832 0.4987  1 P 1.56
32 O 0.5944 0.7590 0.1012  1 P 1.58
33 P 0.4327 0.0851 0.2489  4 O 1.53-1.57
34 O 0.0663 0.2168 0.9987  1 P 1.56
35 O 0.9056 0.7410 0.6012  1 P 1.58
36 O 0.9337 0.7832 0.0013  1 P 1.56
37 O 0.7051 0.2373 0.3917  1 P 1.56
38 P 0.0673 0.4149 0.7489  4 O 1.53-1.57
39 O 0.0547 0.9325 0.8927  1 P 1.61
40 V 0.0991 0.2637 0.9037  5 O 1.89-2.08
41 O 0.4056 0.2410 0.8988  1 P 1.58
42 O 0.8702 0.4442 0.0807  1 P 1.52
43 O 0.1298 0.5558 0.9193  1 P 1.52
44 P 0.9053 0.1056 0.3767  4 O 1.48-1.58
45 O 0.3744 0.8804 0.7978  1 P 1.54
46 V 0.5991 0.7637 0.5963  5 O 1.89-2.08
47 O 0.5547 0.4325 0.6073  1 P 1.61
48 O 0.6256 0.1196 0.2022  1 P 1.54
49 O 0.7615 0.9286 0.7982  1 P 1.54
50 O 0.4596 0.8879 0.2910  1 P 1.53
51 O 0.0944 0.2590 0.3988  1 P 1.58
52 O 0.5738 0.4256 0.8003  1 P 1.55
53 O 0.6055 0.5975 0.9125  1 P 1.48
54 O 0.7385 0.5714 0.2982  1 P 1.54
55 O 0.2949 0.7627 0.6083  1 P 1.56
56 O 0.4453 0.5675 0.3927  1 P 1.61
57 P 0.0947 0.8944 0.6233  4 O 1.48-1.58
58 P 0.9327 0.5851 0.2511  4 O 1.53-1.57
59 O 0.9453 0.0675 0.1073  1 P 1.61
60 O 0.6716 0.1430 0.0200  1 P 1.51
61 P 0.5673 0.9149 0.7511  4 O 1.53-1.57
62 O 0.8284 0.3570 0.5200  1 P 1.51
63 O 0.5663 0.7168 0.5013  1 P 1.56
64 O 0.2051 0.7373 0.1083  1 P 1.56
65 O 0.1055 0.0975 0.5875  1 P 1.48
66 O 0.3284 0.8570 0.9800  1 P 1.51
67 O 0.0963 0.2317 0.8003  1 P 1.57
68 O 0.3702 0.9442 0.4193  1 P 1.52
69 O 0.7949 0.2627 0.8917  1 P 1.56
70 Ca 0.8608 0.5652 0.4231  4 O 2.17-2.37
71 P 0.6213 0.2730 0.5494  4 O 1.51-1.61
72 V 0.5699 0.4064 0.7085  5 O 1.84-2.04

ΔE_f (raw) = -262.21 kJ per mole of atoms

---

Compound: CoRe2Mo
Source: the Alexandria database
Functional: meta-GGA SCAN
Structure: single point on PBEsol structure

Unit cell a=3.7917 b=3.7917 c=4.6568 alpha=114.02 beta=114.02 gamma=90.00
Closest atoms and distances in Å follow each position.
Element x y z (fractional)
1 Re 0.2500 0.7500 0.5000  4 Re 2.68, 4 Co 2.69, 4 Mo 2.69
2 Co 0.5000 0.5000 0.0000  4 Mo 2.68, 8 Re 2.69
3 Re 0.7500 0.2500 0.5000  4 Re 2.68, 4 Mo 2.69, 4 Co 2.69
4 Mo 0.0000 0.0000 0.0000  4 Co 2.68, 8 Re 2.69

E above lowest polymorph = 0.28 eV/f.u.
ΔH_f (0 K) = 0.1699 eV per atom

---

Compound: BeFe2Ir
Source: the Alexandria database
Functional: meta-GGA SCAN
Structure: single point on PBEsol structure

Unit cell a=2.7906 b=2.7906 c=5.4869 alpha=90.00 beta=90.00 gamma=90.00
Closest atoms and distances in Å follow each position.
Element x y z (fractional)
1 Fe 0.0000 0.0000 0.9910  4 Be 2.33, 4 Fe 2.34, 1 Ir 2.57
2 Fe 0.5000 0.5000 0.2217  4 Fe 2.34, 1 Be 2.51, 4 Ir 2.57
3 Ir 0.0000 0.0000 0.5227  4 Be 2.38, 5 Fe 2.57
4 Be 0.5000 0.5000 0.7645  5 Fe 2.33-2.51, 4 Ir 2.38

ΔH_f (0 K) = -0.2665 eV per atom

---

Compound: SbSe2Cl
Source: the Alexandria database
Functional: meta-GGA SCAN
Structure: single point on PBEsol structure

Unit cell a=6.4595 b=6.4595 c=6.4595 alpha=72.49 beta=69.54 gamma=110.46
Closest atoms and distances in Å follow each position.
Element x y z (fractional)
1 Sb 0.0000 0.0000 0.0000  4 Se 2.62
2 Se 0.4662 0.1250 0.9088  2 Sb 2.62
3 Cl 0.0000 0.5000 0.5000  4 Se 2.95
4 Se 0.5338 0.6250 0.3412  2 Sb 2.62
5 Sb 0.5000 0.2500 0.2500  4 Se 2.62
6 Se 0.0338 0.9088 0.6250  2 Sb 2.62
7 Se 0.9662 0.3412 0.1250  2 Sb 2.62
8 Cl 0.5000 0.7500 0.7500  4 Se 2.95

E above lowest polymorph = 0.97 eV/f.u.
ΔE_f (raw) = 2.37 kJ per mole of atoms

---

Compound: CaSc2Os
Source: the Alexandria database
Functional: meta-GGA SCAN
Structure: single point on PBEsol structure

Unit cell a=3.1080 b=3.1080 c=10.7845 alpha=81.71 beta=81.71 gamma=60.00
Closest atoms and distances in Å follow each position.
Element x y z (fractional)
1 Os 0.0000 0.0000 0.0000  2 Sc 2.37
2 Sc 0.9257 0.9257 0.2229  1 Os 2.37
3 Ca 0.5000 0.5000 0.5000  6 Ca 3.11, 6 Sc 3.45
4 Sc 0.0743 0.0743 0.7771  1 Os 2.37

E above lowest polymorph = 4.11 eV/f.u.
ΔH_f (0 K) = 0.7062 eV per atom

---

Compound: Sc2GeBrN
Source: the Alexandria database
Functional: meta-GGA SCAN
Structure: single point on PBEsol structure

Unit cell a=4.7892 b=4.8986 c=4.8986 alpha=90.00 beta=90.00 gamma=90.00
Closest atoms and distances in Å follow each position.
Element x y z (fractional)
1 Br 0.0000 0.0000 0.0000  2 Ge 2.39, 4 Sc 2.45
2 Ge 0.5000 0.0000 0.0000  2 Br 2.39
3 N 0.5000 0.5000 0.5000  8 Sc 3.43, 4 Ge 3.46
4 Sc 0.0000 0.0000 0.5000  2 Br 2.45
5 Sc 0.0000 0.5000 0.0000  2 Br 2.45

ΔE_f (raw) = 123.06 kJ per mole of atoms

---

Compound: ScSiSn3
Source: the Alexandria database
Functional: meta-GGA SCAN
Structure: single point on PBEsol structure

Unit cell a=5.3444 b=5.3444 c=5.3444 alpha=90.00 beta=90.00 gamma=90.00
Closest atoms and distances in Å follow each position.
Element x y z (fractional)
1 Si 0.5000 0.5000 0.5000  12 Sn 3.78
2 Sn 0.0000 0.0000 0.5000  2 Sc 2.67
3 Sc 0.0000 0.0000 0.0000  6 Sn 2.67
4 Sn 0.0000 0.5000 0.0000  2 Sc 2.67
5 Sn 0.5000 0.0000 0.0000  2 Sc 2.67

ΔE_f (raw) = 80.53 kJ per mole of atoms

---

Compound: LiIO4
Source: the Alexandria database
Functional: meta-GGA SCAN
Structure: single point on PBEsol structure

Unit cell a=5.0705 b=8.4415 c=8.4816 alpha=90.00 beta=99.05 gamma=90.00
Closest atoms and distances in Å follow each position.
Element x y z (fractional)
1 O 0.2409 0.7598 0.4392  1 I 1.78
2 O 0.2366 0.0960 0.5220  1 I 1.80
3 O 0.6720 0.6329 0.2764  1 I 1.78
4 O 0.7634 0.9040 0.4780  1 I 1.80
5 O 0.7366 0.4040 0.0220  1 I 1.80
6 O 0.7409 0.7402 0.9392  1 I 1.78
7 I 0.5887 0.7183 0.4544  4 O 1.78-1.80
8 I 0.0887 0.7817 0.9544  4 O 1.78-1.80
9 Li 0.9494 0.0437 0.6613  5 O 2.03-2.11
10 O 0.8280 0.1329 0.2236  1 I 1.78
11 O 0.3078 0.4058 0.3762  1 I 1.79
12 I 0.9113 0.2183 0.0456  4 O 1.78-1.80
13 O 0.1720 0.8671 0.7764  1 I 1.78
14 Li 0.4494 0.4563 0.1613  5 O 2.03-2.11
15 O 0.3280 0.3671 0.7236  1 I 1.78
16 O 0.8078 0.0942 0.8762  1 I 1.79
17 O 0.1922 0.9058 0.1238  1 I 1.79
18 O 0.7591 0.2402 0.5608  1 I 1.78
19 O 0.2634 0.5960 0.9780  1 I 1.80
20 Li 0.0506 0.9563 0.3387  5 O 2.03-2.11
21 O 0.2591 0.2598 0.0608  1 I 1.78
22 O 0.6922 0.5942 0.6238  1 I 1.79
23 I 0.4113 0.2817 0.5456  4 O 1.78-1.80
24 Li 0.5506 0.5437 0.8387  5 O 2.03-2.11

ΔE_f (raw) = -68.36 kJ per mole of atoms

---

Compound: Ba2MgSc
Source: the Alexandria database
Functional: meta-GGA SCAN
Structure: single point on PBEsol structure

Unit cell a=3.7810 b=3.7810 c=12.0965 alpha=81.01 beta=81.01 gamma=60.00
Closest atoms and distances in Å follow each position.
Element x y z (fractional)
1 Ba 0.2506 0.2506 0.2483  3 Sc 3.67, 3 Mg 3.71, 6 Ba 3.78
2 Mg 0.5000 0.5000 0.5000  6 Ba 3.71, 6 Mg 3.78
3 Sc 0.0000 0.0000 0.0000  6 Ba 3.67, 6 Sc 3.78
4 Ba 0.7494 0.7494 0.7517  3 Sc 3.67, 3 Mg 3.71, 6 Ba 3.78

ΔH_f (0 K) = 0.3410 eV per atom

---

Compound: LiCaBi
Source: the Alexandria database
Functional: meta-GGA SCAN
Structure: single point on PBEsol structure

Unit cell a=4.6955 b=7.7086 c=8.4159 alpha=90.00 beta=90.00 gamma=90.00
Closest atoms and distances in Å follow each position.
Element x y z (fractional)
1 Ca 0.7500 0.9903 0.2026  5 Bi 3.24-3.35, 4 Li 3.27-3.59
2 Ca 0.2500 0.0097 0.7974  5 Bi 3.24-3.35, 4 Li 3.27-3.59
3 Ca 0.2500 0.5097 0.7026  5 Bi 3.24-3.35, 4 Li 3.27-3.59
4 Li 0.7500 0.8469 0.5724  4 Bi 2.82-2.97
5 Bi 0.2500 0.2688 0.1000  4 Li 2.82-2.97
6 Li 0.2500 0.6531 0.0724  4 Bi 2.82-2.97
7 Bi 0.2500 0.7688 0.4000  4 Li 2.82-2.97
8 Li 0.7500 0.3469 0.9276  4 Bi 2.82-2.97
9 Bi 0.7500 0.2312 0.6000  4 Li 2.82-2.97
10 Li 0.2500 0.1531 0.4276  4 Bi 2.82-2.97
11 Ca 0.7500 0.4903 0.2974  5 Bi 3.24-3.35, 4 Li 3.27-3.59
12 Bi 0.7500 0.7312 0.9000  4 Li 2.82-2.97

ΔH_f (0 K) = -0.8737 eV per atom

---

Compound: Ba2GeBi
Source: the Alexandria database
Functional: meta-GGA SCAN
Structure: single point on PBEsol structure

Unit cell a=5.8426 b=5.8426 c=5.8426 alpha=60.00 beta=60.00 gamma=60.00
Closest atoms and distances in Å follow each position.
Element x y z (fractional)
1 Ge 0.0000 0.0000 0.0000  8 Ba 3.58
2 Ba 0.7500 0.7500 0.7500  4 Bi 3.58, 4 Ge 3.58
3 Bi 0.5000 0.5000 0.5000  8 Ba 3.58
4 Ba 0.2500 0.2500 0.2500  4 Ge 3.58, 4 Bi 3.58

ΔH_f (0 K) = -0.5650 eV per atom

---

Compound: TeBr
Source: the Alexandria database
Functional: meta-GGA SCAN
Structure: single point on PBEsol structure

Unit cell a=3.7976 b=5.5768 c=6.3138 alpha=116.21 beta=107.50 gamma=90.00
Closest atoms and distances in Å follow each position.
Element x y z (fractional)
1 Br 0.0927 0.8427 0.1854  6 Te 3.24-3.44, 2 Br 3.42
2 Te 0.3464 0.5964 0.6928  2 Te 2.80
3 Br 0.9073 0.1573 0.8146  6 Te 3.24-3.44, 2 Br 3.42
4 Te 0.6536 0.4036 0.3072  2 Te 2.80

ΔE_f (raw) = 3.87 kJ per mole of atoms

---

Compound: MoOsBr
Source: the Alexandria database
Functional: meta-GGA SCAN
Structure: single point on PBEsol structure

Unit cell a=2.8444 b=2.8444 c=7.3136 alpha=95.83 beta=95.83 gamma=118.54
Closest atoms and distances in Å follow each position.
Element x y z (fractional)
1 Os 0.6838 0.6838 0.3676  2 Mo 2.52
2 Br 0.9889 0.9889 0.9778  2 Mo 2.74, 6 Br 2.84-2.91
3 Mo 0.3273 0.3273 0.6545  2 Os 2.52, 2 Br 2.74

E above lowest polymorph = 0.00 eV/f.u.
ΔE_f (raw) = 92.34 kJ per mole of atoms

---

Compound: Sb2TePb
Source: the Alexandria database
Functional: meta-GGA SCAN
Structure: single point on PBEsol structure

Unit cell a=3.7769 b=5.4855 c=6.2855 alpha=115.87 beta=107.48 gamma=90.00
Closest atoms and distances in Å follow each position.
Element x y z (fractional)
1 Sb 0.7357 0.7357 0.4715  2 Te 3.14, 4 Sb 3.34, 2 Pb 3.39
2 Te 0.0000 0.5000 0.0000  4 Sb 3.14, 4 Pb 3.33
3 Pb 0.5000 0.0000 0.0000  4 Te 3.33, 8 Sb 3.39-3.72
4 Sb 0.2643 0.2643 0.5285  2 Te 3.14, 4 Sb 3.34, 2 Pb 3.39

E above lowest polymorph = 1.03 eV/f.u.
ΔE_f (raw) = 13.00 kJ per mole of atoms

---

Compound: YMnAs2
Source: the Alexandria database
Functional: meta-GGA SCAN
Structure: single point on PBEsol structure

Unit cell a=3.1261 b=3.1261 c=6.8675 alpha=90.00 beta=90.00 gamma=90.00
Closest atoms and distances in Å follow each position.
Element x y z (fractional)
1 As 0.0000 0.0000 0.7977  4 Mn 2.61, 1 As 2.78
2 As 0.0000 0.0000 0.2023  4 Mn 2.61, 1 As 2.78
3 Mn 0.5000 0.5000 0.0000  8 As 2.61
4 Y 0.5000 0.5000 0.5000  8 As 3.01, 4 Y 3.13

E above lowest polymorph = 1.28 eV/f.u.
ΔH_f (0 K) = -0.4292 eV per atom

---

Compound: NiBiBr2
Source: the Alexandria database
Functional: meta-GGA SCAN
Structure: single point on PBEsol structure

Unit cell a=4.9453 b=4.9453 c=7.2520 alpha=70.06 beta=70.06 gamma=60.00
Closest atoms and distances in Å follow each position.
Element x y z (fractional)
1 Br 0.8920 0.8920 0.3239  1 Ni 2.16
2 Ni 0.0000 0.0000 0.0000  2 Br 2.16
3 Bi 0.5000 0.5000 0.5000  6 Br 3.09
4 Br 0.1080 0.1080 0.6761  1 Ni 2.16

ΔE_f (raw) = 42.24 kJ per mole of atoms

---

Compound: K2ZrSe
Source: the Alexandria database
Functional: meta-GGA SCAN
Structure: single point on PBEsol structure

Unit cell a=4.9315 b=4.9315 c=5.8873 alpha=114.76 beta=114.76 gamma=90.00
Closest atoms and distances in Å follow each position.
Element x y z (fractional)
1 Se 0.5000 0.5000 0.0000  8 K 3.42-3.49, 4 Zr 3.42
2 Zr 0.2500 0.7500 0.5000  4 Se 3.42, 8 K 3.42-3.49
3 K 0.7500 0.2500 0.5000  4 Se 3.42, 4 K 3.42, 4 Zr 3.49
4 K 0.0000 0.0000 0.0000  4 Zr 3.42, 4 K 3.42, 4 Se 3.49

ΔE_f (raw) = 23.03 kJ per mole of atoms

---

Compound: CsK3
Source: the Alexandria database
Functional: meta-GGA SCAN
Structure: single point on PBEsol structure

Unit cell a=7.6044 b=7.6044 c=7.6044 alpha=60.00 beta=60.00 gamma=60.00
Closest atoms and distances in Å follow each position.
Element x y z (fractional)
1 K 0.5000 0.5000 0.5000  8 K 4.66
2 K 0.2500 0.2500 0.2500  4 K 4.66, 4 Cs 4.66
3 K 0.7500 0.7500 0.7500  4 K 4.66, 4 Cs 4.66
4 Cs 0.0000 0.0000 0.0000  8 K 4.66

ΔH_f (0 K) = 0.0072 eV per atom

---

Compound: MgCrO4
Source: the Alexandria database
Functional: meta-GGA SCAN
Structure: single point on PBEsol structure

Unit cell a=4.9869 b=4.9869 c=6.3746 alpha=90.00 beta=90.00 gamma=113.37
Closest atoms and distances in Å follow each position.
Element x y z (fractional)
1 O 0.7802 0.7259 0.2500  1 Cr 1.68
2 Cr 0.6415 0.3585 0.2500  4 O 1.61-1.68
3 Mg 0.0000 0.0000 0.0000  6 O 2.07-2.10
4 O 0.2741 0.2198 0.2500  1 Cr 1.68
5 Mg 0.0000 0.0000 0.5000  6 O 2.07-2.10
6 O 0.2462 0.7538 0.9563  1 Cr 1.61
7 O 0.7538 0.2462 0.4563  1 Cr 1.61
8 O 0.7538 0.2462 0.0437  1 Cr 1.61
9 Cr 0.3585 0.6415 0.7500  4 O 1.61-1.68
10 O 0.7259 0.7802 0.7500  1 Cr 1.68
11 O 0.2198 0.2741 0.7500  1 Cr 1.68
12 O 0.2462 0.7538 0.5437  1 Cr 1.61

E above lowest polymorph = 0.00 eV/f.u.
ΔE_f (raw) = -224.01 kJ per mole of atoms

---

| no. | size of the total moment (μB/atom) |
| --- | --- |
| 1 | 0.636 |
| 2 | 0.167 |
| 3 | 0.001 |
| 4 | 1.438 |
| 5 | 0.000 |
| 6 | 0.000 |
| 7 | 0.295 |
| 8 | 0.000 |
| 9 | 0.000 |
| 10 | 0.247 |
| 11 | 0.000 |
| 12 | 0.000 |
| 13 | 0.000 |
| 14 | 0.000 |
| 15 | 0.000 |
| 16 | 0.855 |
| 17 | 0.029 |
| 18 | 0.969 |
| 19 | 0.013 |
| 20 | 0.000 |